Record 1
This record from the Alexandria database describes a geometry-optimized TbNi3 structure. The functional is PBE.

Values from the calculation:
Energy relative to the elements: -0.402 eV per atom
M_tot: 0.31 μB/f.u.
Space-group type: R-3m (166)

Cell: 4.9707 4.9707 8.6280 Å, 89.95 106.76 120.06°
Closest atoms and distances in Å follow each position.
Sites, in units of the cell vectors:
Ni  0.6634  0.5820  0.2453  7 Ni 2.45-2.52
Ni  0.6634  0.0811  0.2455  7 Ni 2.45-2.52
Ni  0.6662  0.3328  0.9990  6 Ni 2.45-2.47
Ni  0.1645  0.5821  0.2455  7 Ni 2.45-2.52
Ni  0.8355  0.4179  0.7545  7 Ni 2.45-2.52
Ni  0.3366  0.9189  0.7545  7 Ni 2.45-2.52
Ni  0.0000  0.5000  0.5000  6 Ni 2.52
Tb  0.2777  0.1388  0.4165  12 Ni 2.85-3.10, 3 Tb 3.17
Ni  0.3366  0.4180  0.7547  7 Ni 2.45-2.52
Tb  0.7223  0.8612  0.5835  12 Ni 2.85-3.10, 3 Tb 3.17
Ni  0.3338  0.6672  0.0010  6 Ni 2.45-2.47
Tb  0.0000  0.0000  0.0000  18 Ni 2.87-3.19

Record 2
This record from the Alexandria database describes a geometry-optimized TbNi5 structure. The functional is PBE.

Values from the calculation:
Energy relative to the elements: -0.324 eV per atom
M_tot: 1.61 μB/f.u.
Space-group type: P6/mmm (191)

Cell: 4.8911 4.8911 3.9553 Å, 90.00 90.00 120.00°
Closest atoms and distances in Å follow each position.
Sites, in units of the cell vectors:
Tb  0.0000  0.0000  0.0000  18 Ni 2.82-3.15
Ni  0.3333  0.6667  0.0000  6 Ni 2.43
Ni  0.0000  0.5000  0.5000  8 Ni 2.43-2.45
Ni  0.6667  0.3333  0.0000  6 Ni 2.43
Ni  0.5000  0.0000  0.5000  8 Ni 2.43-2.45
Ni  0.5000  0.5000  0.5000  8 Ni 2.43-2.45

Record 3
This record from the Alexandria database describes a geometry-optimized Tb4Ni structure. The functional is PBE.

Values from the calculation:
Energy above the most stable polymorph in this dataset: 0.000 eV/atom
Energy relative to the elements: -0.118 eV per atom
M_tot: 0.00 μB/f.u.
Space-group type: I-42d (122)

Cell: 7.1851 7.1851 7.1833 Å, 107.42 107.42 113.66°
Closest atoms and distances in Å follow each position.
Sites, in units of the cell vectors:
Tb  0.2748  0.5374  0.3294  1 Ni 2.63
Tb  0.1955  0.9580  0.1706  1 Ni 2.63
Tb  0.7874  0.0248  0.8294  1 Ni 2.63
Ni  0.3307  0.3307  0.0000  4 Tb 2.63
Tb  0.7029  0.8732  0.2376  1 Ni 2.63
Ni  0.5807  0.0807  0.5000  4 Tb 2.63
Tb  0.6356  0.4653  0.7624  1 Ni 2.63
Tb  0.1232  0.4529  0.7376  1 Ni 2.63
Tb  0.7153  0.3856  0.2624  1 Ni 2.63
Tb  0.2080  0.9455  0.6706  1 Ni 2.63

Record 4
This record from the Alexandria database describes a geometry-optimized Tb7Ni3 structure. The functional is PBE.

Values from the calculation:
Energy relative to the elements: -0.258 eV per atom
M_tot: 0.00 μB/f.u.
Space-group type: P6_3mc (186)

Cell: 6.1917 9.6549 9.6549 Å, 120.00 90.00 90.00°
Closest atoms and distances in Å follow each position.
Sites, in units of the cell vectors:
Ni  0.3669  0.3795  0.1897  6 Tb 2.76-2.88
Tb  0.4350  0.1257  0.8743  3 Ni 2.83-2.88
Tb  0.1409  0.6667  0.3333  3 Ni 2.78
Tb  0.1206  0.4597  0.9195  2 Ni 2.76
Tb  0.6409  0.3333  0.6667  3 Ni 2.78
Tb  0.9350  0.8743  0.7485  3 Ni 2.83-2.88
Ni  0.3669  0.8103  0.6205  6 Tb 2.76-2.88
Tb  0.6206  0.9195  0.4597  2 Ni 2.76
Tb  0.1206  0.0805  0.5403  2 Ni 2.76
Ni  0.8669  0.6205  0.8103  6 Tb 2.76-2.88
Tb  0.4350  0.1257  0.2515  3 Ni 2.83-2.88
Tb  0.6206  0.5403  0.0805  2 Ni 2.76
Tb  0.4350  0.7485  0.8743  3 Ni 2.83-2.88
Ni  0.8669  0.1897  0.8103  6 Tb 2.76-2.88
Tb  0.6206  0.5403  0.4597  2 Ni 2.76
Tb  0.1206  0.4597  0.5403  2 Ni 2.76
Tb  0.9350  0.8743  0.1257  3 Ni 2.83-2.88
Tb  0.9350  0.2515  0.1257  3 Ni 2.83-2.88
Ni  0.3669  0.8103  0.1897  6 Tb 2.76-2.88
Ni  0.8669  0.1897  0.3795  6 Tb 2.76-2.88

Record 5
This record from the Alexandria database describes a geometry-optimized TbNi6 structure. The functional is PBE.

Values from the calculation:
Energy above the most stable polymorph in this dataset: 0.000 eV/atom
Energy relative to the elements: -0.204 eV per atom
M_tot: 1.82 μB/f.u.
Space-group type: Pnma (62)

Cell: 4.8403 7.7815 9.7831 Å, 90.00 90.00 90.00°
Closest atoms and distances in Å follow each position.
Sites, in units of the cell vectors:
Ni  0.7500  0.9381  0.0923  5 Ni 2.40-2.57
Ni  0.2500  0.5619  0.5923  5 Ni 2.40-2.57
Ni  0.2500  0.3184  0.7425  9 Ni 2.37-2.60
Tb  0.2500  0.7587  0.0608  10 Ni 2.74-3.01
Tb  0.7500  0.7413  0.5608  10 Ni 2.74-3.01
Ni  0.7500  0.1031  0.4813  6 Ni 2.39-2.53
Ni  0.2500  0.1481  0.1478  8 Ni 2.44-2.60
Ni  0.7500  0.4381  0.4077  5 Ni 2.40-2.57
Ni  0.5060  0.5675  0.8083  9 Ni 2.36-2.58
Ni  0.2500  0.6481  0.3522  8 Ni 2.44-2.60
Ni  0.7500  0.6031  0.0187  6 Ni 2.39-2.53
Tb  0.7500  0.2413  0.9392  10 Ni 2.74-3.01
Ni  0.2500  0.3969  0.9813  6 Ni 2.39-2.53
Ni  0.2500  0.0619  0.9077  5 Ni 2.40-2.57
Ni  0.7500  0.6816  0.2575  9 Ni 2.37-2.60
Ni  0.2500  0.8969  0.5187  6 Ni 2.39-2.53
Ni  0.2500  0.8184  0.7575  9 Ni 2.37-2.60
Ni  0.7500  0.3519  0.6478  8 Ni 2.44-2.60
Ni  0.9940  0.5675  0.8083  9 Ni 2.36-2.58
Ni  0.0060  0.4325  0.1917  9 Ni 2.36-2.58
Ni  0.5060  0.0675  0.6917  9 Ni 2.36-2.58
Ni  0.7500  0.8519  0.8522  8 Ni 2.44-2.60
Tb  0.2500  0.2587  0.4392  10 Ni 2.74-3.01
Ni  0.7500  0.1816  0.2425  9 Ni 2.37-2.60
Ni  0.9940  0.0675  0.6917  9 Ni 2.36-2.58
Ni  0.0060  0.9325  0.3083  9 Ni 2.36-2.58
Ni  0.4940  0.4325  0.1917  9 Ni 2.36-2.58
Ni  0.4940  0.9325  0.3083  9 Ni 2.36-2.58

Record 6
This record from the Alexandria database describes a geometry-optimized Tb3Ni2 structure. The functional is PBE.

Values from the calculation:
Energy above the most stable polymorph in this dataset: 0.077 eV/atom
Energy relative to the elements: -0.280 eV per atom
M_tot: 0.00 μB/f.u.
Space-group type: R-3c (167)

Cell: 6.7355 6.7355 7.2359 Å, 62.26 62.26 60.00°
Closest atoms and distances in Å follow each position.
Sites, in units of the cell vectors:
Tb  0.2500  0.6240  0.2500  4 Ni 2.79-2.81
Tb  0.7500  0.3760  0.7500  4 Ni 2.79-2.81
Ni  0.3158  0.3158  0.0527  1 Ni 2.41
Tb  0.6240  0.8760  0.2500  4 Ni 2.79-2.81
Tb  0.8760  0.2500  0.2500  4 Ni 2.79-2.81
Ni  0.6842  0.6842  0.9473  1 Ni 2.41
Tb  0.1240  0.7500  0.7500  4 Ni 2.79-2.81
Ni  0.1842  0.1842  0.4473  1 Ni 2.41
Tb  0.3760  0.1240  0.7500  4 Ni 2.79-2.81
Ni  0.8158  0.8158  0.5527  1 Ni 2.41